[1]
VASP calculation (GGA-PBE) on a relaxed AcPmMg4 crystal.

Computed properties:
**Space-group type**: No. 216
**N(E_F)**: 0.80 states/eV/atom
**E_form**: -0.109 eV/atom

Cell: 6.234 6.234 6.234 Å, 60.00 60.00 60.00°
Atoms (fractional coordinates):
Ac  0.250  0.250  0.250
Mg  0.626  0.626  0.122
Mg  0.626  0.122  0.626
Mg  0.626  0.626  0.626
Mg  0.122  0.626  0.626
Pm  0.000  0.000  0.000

[2]
VASP calculation (GGA-PBE) on a relaxed Ti4Pb2O9F2 crystal.

Computed properties:
**Space-group type**: No. 12
**N(E_F)**: 0.00 states/eV/atom
**Uncorrected formation energy**: -261.1 kJ per mole of atoms

Cell: 7.747 7.747 10.484 Å, 48.20 48.20 28.71°
Atoms (fractional coordinates):
Ti  0.658  0.658  0.773
Ti  0.342  0.342  0.227
Ti  0.622  0.622  0.452
Ti  0.378  0.378  0.548
Pb  0.085  0.085  0.161
Pb  0.915  0.915  0.839
O  0.197  0.197  0.755
O  0.803  0.803  0.245
O  0.850  0.850  0.570
O  0.150  0.150  0.430
O  0.500  0.500  0.000
O  0.438  0.438  0.662
O  0.562  0.562  0.338
O  0.616  0.616  0.650
O  0.384  0.384  0.350
F  0.713  0.713  0.938
F  0.287  0.287  0.062

[3]
VASP calculation (GGA-PBE) on a relaxed LiTcI2 crystal.

Computed properties:
**Space-group type**: No. 166
**N(E_F)**: 0.44 states/eV/atom
**Uncorrected formation energy**: 23.4 kJ per mole of atoms

Cell: 4.140 4.140 9.027 Å, 76.74 76.74 60.00°
Each line ends with the local moment (μB).
Atoms (fractional coordinates):
I  0.103  0.103  0.691  0.04
I  0.897  0.897  0.309  0.04
Tc  0.000  0.000  0.000  3.33
Li  0.500  0.500  0.500  0.01

[4]
VASP calculation (GGA-PBE) on a relaxed KCdAg2 crystal.

Computed properties:
**Space-group type**: No. 123
**N(E_F)**: 0.30 states/eV/atom
**E_form**: 0.200 eV/atom

Cell: 4.277 4.857 4.857 Å, 90.00 90.00 90.00°
Atoms (fractional coordinates):
Ag  0.000  0.000  0.000
Ag  0.000  0.500  0.500
Cd  0.500  0.500  0.000
K  0.500  0.000  0.500